#a
# PBE LaThTlIn, optimized geometry
# Crystal system   tetragonal
# Magnetic moment   0.00 μB per cell
data_LaThTlIn
_cell_length_a 4.141
_cell_length_b 4.141
_cell_length_c 7.041
_cell_angle_alpha 90.00
_cell_angle_beta 90.00
_cell_angle_gamma 90.00
_space_group_name_H-M_alt 'P 4 m m'
_space_group_IT_number 99
_space_group_name_Hall 'P 4 -2'
loop_
_atom_site_label
_atom_site_fract_x
_atom_site_fract_y
_atom_site_fract_z
La1 0.000 0.000 0.000
Th1 0.000 0.000 0.496
Tl1 0.500 0.500 0.739
In1 0.500 0.500 0.260

#b
# PBE LaThTlIn, optimized geometry
# Crystal system   cubic
# Magnetic moment   0.00 μB per cell
data_LaThTlIn
_cell_length_a 7.858
_cell_length_b 7.858
_cell_length_c 7.858
_cell_angle_alpha 90.00
_cell_angle_beta 90.00
_cell_angle_gamma 90.00
_space_group_name_H-M_alt 'F -4 3 m'
_space_group_IT_number 216
_space_group_name_Hall 'F -4 2 3'
loop_
_atom_site_label
_atom_site_fract_x
_atom_site_fract_y
_atom_site_fract_z
La1 0.000 0.000 0.000
Th1 0.000 0.000 0.500
Tl1 0.250 0.250 0.750
In1 0.250 0.250 0.250

Decreasing stability: #a, #b

#a
# PBE LaTi2In2, optimized geometry
# Crystal system   tetragonal
# Magnetic moment   0.00 μB per cell
data_LaTi2In2
_cell_length_a 8.418
_cell_length_b 8.418
_cell_length_c 3.244
_cell_angle_alpha 90.00
_cell_angle_beta 90.00
_cell_angle_gamma 90.00
_space_group_name_H-M_alt 'P 4/m b m'
_space_group_IT_number 127
_space_group_name_Hall '-P 4 2ab'
loop_
_atom_site_label
_atom_site_fract_x
_atom_site_fract_y
_atom_site_fract_z
La1 0.000 0.000 0.000
Ti1 0.173 0.327 0.500
In1 0.124 0.624 0.000

#b
# PBE LaTi2In2, optimized geometry
# Crystal system   tetragonal
# Magnetic moment   4.67 μB per cell
data_LaTi2In2
_cell_length_a 4.324
_cell_length_b 4.324
_cell_length_c 13.296
_cell_angle_alpha 90.00
_cell_angle_beta 90.00
_cell_angle_gamma 90.00
_space_group_name_H-M_alt 'I 4/m m m'
_space_group_IT_number 139
_space_group_name_Hall '-I 4 2'
loop_
_atom_site_label
_atom_site_fract_x
_atom_site_fract_y
_atom_site_fract_z
La1 0.000 0.000 0.000
Ti1 0.000 0.500 0.250
In1 0.000 0.000 0.392

#c
# PBE LaTi2In2, optimized geometry
# Crystal system   tetragonal
# Magnetic moment   3.70 μB per cell
data_LaTi2In2
_cell_length_a 8.620
_cell_length_b 8.620
_cell_length_c 3.078
_cell_angle_alpha 90.00
_cell_angle_beta 90.00
_cell_angle_gamma 90.00
_space_group_name_H-M_alt 'P 4/m b m'
_space_group_IT_number 127
_space_group_name_Hall '-P 4 2ab'
loop_
_atom_site_label
_atom_site_fract_x
_atom_site_fract_y
_atom_site_fract_z
La1 0.000 0.000 0.000
Ti1 0.112 0.388 0.000
In1 0.179 0.679 0.500

Decreasing stability: #c, #b, #a

#a
# PBE La2Tl2In, optimized geometry
# Crystal system   monoclinic
# Magnetic moment   0.00 μB per cell
data_La2Tl2In
_cell_length_a 11.877
_cell_length_b 5.065
_cell_length_c 11.146
_cell_angle_alpha 90.00
_cell_angle_beta 113.76
_cell_angle_gamma 90.00
_space_group_name_H-M_alt 'C 1 2/m 1'
_space_group_IT_number 12
_space_group_name_Hall '-C 2y'
loop_
_atom_site_label
_atom_site_fract_x
_atom_site_fract_y
_atom_site_fract_z
La1 0.055 0.000 0.347
La2 0.173 0.000 0.067
Tl1 0.019 0.500 0.869
Tl2 0.141 0.500 0.559
In1 0.246 0.000 0.715

#b
# PBE La2Tl2In, optimized geometry
# Crystal system   tetragonal
# Magnetic moment   0.00 μB per cell
data_La2Tl2In
_cell_length_a 7.991
_cell_length_b 7.991
_cell_length_c 4.876
_cell_angle_alpha 90.00
_cell_angle_beta 90.00
_cell_angle_gamma 90.00
_space_group_name_H-M_alt 'P 4/m b m'
_space_group_IT_number 127
_space_group_name_Hall '-P 4 2ab'
loop_
_atom_site_label
_atom_site_fract_x
_atom_site_fract_y
_atom_site_fract_z
La1 0.170 0.330 0.000
Tl1 0.134 0.634 0.500
In1 0.000 0.000 0.500

#c
# PBE La2Tl2In, optimized geometry
# Crystal system   tetragonal
# Magnetic moment   0.00 μB per cell
data_La2Tl2In
_cell_length_a 8.468
_cell_length_b 8.468
_cell_length_c 4.510
_cell_angle_alpha 90.00
_cell_angle_beta 90.00
_cell_angle_gamma 90.00
_space_group_name_H-M_alt 'P 4/m b m'
_space_group_IT_number 127
_space_group_name_Hall '-P 4 2ab'
loop_
_atom_site_label
_atom_site_fract_x
_atom_site_fract_y
_atom_site_fract_z
La1 0.130 0.370 0.000
Tl1 0.171 0.671 0.500
In1 0.000 0.000 0.000

Decreasing stability: #a, #b, #c

#a
# PBE La3TlIn, optimized geometry
# Crystal system   monoclinic
# Magnetic moment   0.00 μB per cell
data_La3TlIn
_cell_length_a 16.898
_cell_length_b 3.812
_cell_length_c 10.648
_cell_angle_alpha 90.00
_cell_angle_beta 108.42
_cell_angle_gamma 90.00
_space_group_name_H-M_alt 'C 1 2/m 1'
_space_group_IT_number 12
_space_group_name_Hall '-C 2y'
loop_
_atom_site_label
_atom_site_fract_x
_atom_site_fract_y
_atom_site_fract_z
La1 0.111 0.000 0.424
La2 0.134 0.000 0.953
La3 0.240 0.000 0.730
Tl1 0.053 0.500 0.151
In1 0.068 0.500 0.661

#b
# PBE La3TlIn, optimized geometry
# Crystal system   cubic
# Magnetic moment   0.00 μB per cell
data_La3TlIn
_cell_length_a 5.996
_cell_length_b 5.996
_cell_length_c 5.996
_cell_angle_alpha 90.00
_cell_angle_beta 90.00
_cell_angle_gamma 90.00
_space_group_name_H-M_alt 'P m -3 m'
_space_group_IT_number 221
_space_group_name_Hall '-P 4 2 3'
loop_
_atom_site_label
_atom_site_fract_x
_atom_site_fract_y
_atom_site_fract_z
La1 0.000 0.000 0.500
Tl1 0.500 0.500 0.500
In1 0.000 0.000 0.000

Decreasing stability: #a, #b

#a
# PBE La6Tl5In, optimized geometry
# Crystal system   monoclinic
# Magnetic moment   0.00 μB per cell
data_La6Tl5In
_cell_length_a 10.189
_cell_length_b 11.862
_cell_length_c 6.957
_cell_angle_alpha 90.00
_cell_angle_beta 102.76
_cell_angle_gamma 90.00
_space_group_name_H-M_alt 'C 1 2/m 1'
_space_group_IT_number 12
_space_group_name_Hall '-C 2y'
loop_
_atom_site_label
_atom_site_fract_x
_atom_site_fract_y
_atom_site_fract_z
La1 0.247 0.000 0.243
La2 0.249 0.166 0.748
Tl1 0.000 0.000 0.500
Tl2 0.000 0.174 0.000
Tl3 0.000 0.339 0.500
In1 0.000 0.500 0.000

#b
# PBE La6Tl5In, optimized geometry
# Crystal system   orthorhombic
# Magnetic moment   0.00 μB per cell
data_La6Tl5In
_cell_length_a 5.645
_cell_length_b 7.915
_cell_length_c 16.932
_cell_angle_alpha 90.00
_cell_angle_beta 90.00
_cell_angle_gamma 90.00
_space_group_name_H-M_alt 'I m m m'
_space_group_IT_number 71
_space_group_name_Hall '-I 2 2'
loop_
_atom_site_label
_atom_site_fract_x
_atom_site_fract_y
_atom_site_fract_z
La1 0.000 0.248 0.000
La2 0.000 0.251 0.334
Tl1 0.000 0.000 0.167
Tl2 0.000 0.000 0.500
Tl3 0.000 0.500 0.167
In1 0.000 0.500 0.500

Decreasing stability: #b, #a

#a
# PBE LaTlIn3, optimized geometry
# Crystal system   monoclinic
# Magnetic moment   0.00 μB per cell
data_LaTlIn3
_cell_length_a 4.962
_cell_length_b 6.417
_cell_length_c 9.416
_cell_angle_alpha 90.00
_cell_angle_beta 105.19
_cell_angle_gamma 90.00
_space_group_name_H-M_alt 'P 1 21/m 1'
_space_group_IT_number 11
_space_group_name_Hall '-P 2yb'
loop_
_atom_site_label
_atom_site_fract_x
_atom_site_fract_y
_atom_site_fract_z
La1 0.106 0.250 0.215
Tl1 0.268 0.750 0.535
In1 0.076 0.750 0.153
In2 0.326 0.250 0.654
In3 0.500 0.000 0.000

#b
# PBE LaTlIn3, optimized geometry
# Crystal system   cubic
# Magnetic moment   0.00 μB per cell
data_LaTlIn3
_cell_length_a 5.600
_cell_length_b 5.600
_cell_length_c 5.600
_cell_angle_alpha 90.00
_cell_angle_beta 90.00
_cell_angle_gamma 90.00
_space_group_name_H-M_alt 'P m -3 m'
_space_group_IT_number 221
_space_group_name_Hall '-P 4 2 3'
loop_
_atom_site_label
_atom_site_fract_x
_atom_site_fract_y
_atom_site_fract_z
La1 0.000 0.000 0.000
Tl1 0.500 0.500 0.500
In1 0.000 0.500 0.500

Decreasing stability: #a, #b

#a
# PBE La6TlIn2, optimized geometry
# Crystal system   orthorhombic
# Magnetic moment   0.00 μB per cell
data_La6TlIn2
_cell_length_a 4.677
_cell_length_b 10.619
_cell_length_c 11.457
_cell_angle_alpha 90.00
_cell_angle_beta 90.00
_cell_angle_gamma 90.00
_space_group_name_H-M_alt 'I m m m'
_space_group_IT_number 71
_space_group_name_Hall '-I 2 2'
loop_
_atom_site_label
_atom_site_fract_x
_atom_site_fract_y
_atom_site_fract_z
La1 0.000 0.155 0.168
La2 0.000 0.156 0.500
Tl1 0.000 0.500 0.500
In1 0.000 0.500 0.164

#b
# PBE La6TlIn2, optimized geometry
# Crystal system   hexagonal
# Magnetic moment   0.00 μB per cell
data_La6TlIn2
_cell_length_a 8.7071
_cell_length_b 8.7071
_cell_length_c 4.6647
_cell_angle_alpha 90.00
_cell_angle_beta 90.00
_cell_angle_gamma 120.00
_space_group_name_H-M_alt 'P -6 2 m'
_space_group_IT_number 189
_space_group_name_Hall 'P -6 -2'
loop_
_atom_site_label
_atom_site_fract_x
_atom_site_fract_y
_atom_site_fract_z
La1 0.0000 0.2711 0.0000
La2 0.0000 0.5912 0.5000
Tl1 0.0000 0.0000 0.5000
In1 0.3333 0.6667 0.0000

Decreasing stability: #a, #b

#a
# PBE La6TlIn3, optimized geometry
# Crystal system   monoclinic
# Magnetic moment   0.00 μB per cell
data_La6TlIn3
_cell_length_a 8.905
_cell_length_b 8.354
_cell_length_c 12.276
_cell_angle_alpha 90.00
_cell_angle_beta 132.23
_cell_angle_gamma 90.00
_space_group_name_H-M_alt 'P 1 21/c 1'
_space_group_IT_number 14
_space_group_name_Hall '-P 2ybc'
loop_
_atom_site_label
_atom_site_fract_x
_atom_site_fract_y
_atom_site_fract_z
La1 0.003 0.108 0.270
La2 0.265 0.679 0.083
La3 0.410 0.136 0.059
Tl1 0.500 0.000 0.500
In1 0.000 0.000 0.000
In2 0.254 0.168 0.710

#b
# PBE La6TlIn3, optimized geometry
# Crystal system   monoclinic
# Magnetic moment   0.00 μB per cell
data_La6TlIn3
_cell_length_a 9.958
_cell_length_b 5.493
_cell_length_c 12.132
_cell_angle_alpha 90.00
_cell_angle_beta 105.77
_cell_angle_gamma 90.00
_space_group_name_H-M_alt 'P 1 21/m 1'
_space_group_IT_number 11
_space_group_name_Hall '-P 2yb'
loop_
_atom_site_label
_atom_site_fract_x
_atom_site_fract_y
_atom_site_fract_z
La1 0.040 0.250 0.413
La2 0.156 0.750 0.179
La3 0.250 0.250 0.998
La4 0.339 0.750 0.805
La5 0.382 0.250 0.351
La6 0.408 0.250 0.614
Tl1 0.455 0.750 0.107
In1 0.035 0.750 0.882
In2 0.123 0.250 0.714
In3 0.269 0.750 0.473

Decreasing stability: #b, #a

#a
# PBE La2Tl4In, optimized geometry
# Crystal system   orthorhombic
# Magnetic moment   0.00 μB per cell
data_La2Tl4In
_cell_length_a 6.533
_cell_length_b 10.604
_cell_length_c 12.762
_cell_angle_alpha 90.00
_cell_angle_beta 90.00
_cell_angle_gamma 90.00
_space_group_name_H-M_alt 'F m m m'
_space_group_IT_number 69
_space_group_name_Hall '-F 2 2'
loop_
_atom_site_label
_atom_site_fract_x
_atom_site_fract_y
_atom_site_fract_z
La1 0.000 0.000 0.141
Tl1 0.250 0.250 0.000
Tl2 0.250 0.250 0.250
In1 0.000 0.000 0.500

#b
# PBE La2Tl4In, optimized geometry
# Crystal system   tetragonal
# Magnetic moment   0.00 μB per cell
data_La2Tl4In
_cell_length_a 5.594
_cell_length_b 5.594
_cell_length_c 16.279
_cell_angle_alpha 90.00
_cell_angle_beta 90.00
_cell_angle_gamma 90.00
_space_group_name_H-M_alt 'I 4/m m m'
_space_group_IT_number 139
_space_group_name_Hall '-I 4 2'
loop_
_atom_site_label
_atom_site_fract_x
_atom_site_fract_y
_atom_site_fract_z
La1 0.000 0.000 0.122
Tl1 0.000 0.000 0.318
Tl2 0.000 0.500 0.000
In1 0.000 0.000 0.500

Decreasing stability: #a, #b

#a
# PBE LaTl3In, optimized geometry
# Crystal system   cubic
# Magnetic moment   0.00 μB per cell
data_LaTl3In
_cell_length_a 5.605
_cell_length_b 5.605
_cell_length_c 5.605
_cell_angle_alpha 90.00
_cell_angle_beta 90.00
_cell_angle_gamma 90.00
_space_group_name_H-M_alt 'P m -3 m'
_space_group_IT_number 221
_space_group_name_Hall '-P 4 2 3'
loop_
_atom_site_label
_atom_site_fract_x
_atom_site_fract_y
_atom_site_fract_z
La1 0.000 0.000 0.000
Tl1 0.000 0.500 0.500
In1 0.500 0.500 0.500

#b
# PBE LaTl3In, optimized geometry
# Crystal system   cubic
# Magnetic moment   0.00 μB per cell
data_LaTl3In
_cell_length_a 6.161
_cell_length_b 6.161
_cell_length_c 6.161
_cell_angle_alpha 90.00
_cell_angle_beta 90.00
_cell_angle_gamma 90.00
_space_group_name_H-M_alt 'P m -3 m'
_space_group_IT_number 221
_space_group_name_Hall '-P 4 2 3'
loop_
_atom_site_label
_atom_site_fract_x
_atom_site_fract_y
_atom_site_fract_z
La1 0.000 0.000 0.000
Tl1 0.000 0.000 0.500
In1 0.500 0.500 0.500

Decreasing stability: #a, #b